Record 1
DFT (PBE-GGA) results for an optimized crystal structure of TaTlCl2.

Cell lengths 4.672, 3.185, 6.604 Å; angles 87.35, 90.00, 90.00 degrees
Positions (direct):
Tl 0.500 0.846 0.669
Cl 0.000 0.899 0.128
Cl 0.500 0.384 0.283
Ta 0.000 0.371 0.420

Results
ΔE_f (raw): -0.26 eV per atom
polymorph energy (0 for the lowest one): 0.247 eV per atom

Record 2
DFT (PBE-GGA) results for an optimized crystal structure of Cs2PuAu2I6.

Cell lengths 9.260, 9.137, 8.659 Å; angles 117.59, 90.00, 120.45 degrees
Each line ends with the local moment (μB).
Positions (direct):
I 0.278 0.006 0.770  -0.02
I 0.266 0.533 0.270  -0.03
I 0.734 0.467 0.730  -0.03
I 0.728 0.006 0.770  -0.02
I 0.272 0.994 0.230  -0.02
I 0.722 0.994 0.230  -0.02
Au 0.999 0.999 0.337  0.02
Au 0.001 0.001 0.663  0.02
Cs 0.730 0.460 0.232  0.00
Cs 0.270 0.540 0.768  0.00
Pu 0.500 0.000 0.500  5.27

Results
ΔE_f (raw): -0.84 eV per atom

Record 3
DFT (PBE-GGA) results for an optimized crystal structure of CrSn2B.

Cell lengths 4.742, 4.742, 4.742 Å; angles 60.00, 60.00, 60.00 degrees
Each line ends with the local moment (μB).
Positions (direct):
Cr 0.500 0.500 0.500  3.43
B 0.000 0.000 0.000  -0.04
Sn 0.250 0.250 0.250  -0.04
Sn 0.750 0.750 0.750  -0.04

Results
formation enthalpy at 0 K: 1.03 eV/atom
polymorph energy (0 for the lowest one): 0.425 eV per atom

Record 4
DFT (PBE-GGA) results for an optimized crystal structure of Gd2SiNi.

Cell lengths 4.932, 4.932, 4.932 Å; angles 60.00, 60.00, 60.00 degrees
Each line ends with the local moment (μB).
Positions (direct):
Si 0.000 0.000 0.000  -0.06
Gd 0.250 0.250 0.250  7.01
Gd 0.750 0.750 0.750  7.01
Ni 0.500 0.500 0.500  -0.06

Results
ΔE_f (raw): -0.45 eV per atom
polymorph energy (0 for the lowest one): 0.000 eV per atom